V2Zn2Cl7 | GGA-PBE | optimized geometry

Structure (POSCAR):
```
V2Zn2Cl7
1.0
6.563 0.077 -1.953
-1.055 6.478 -1.953
-0.369 -0.439 13.353
V Zn Cl
4 4 14
Cartesian
1.838 4.613 4.211
1.096 3.730 -1.440
4.043 2.386 10.887
3.301 1.503 5.236
0.899 1.155 1.917
0.798 0.864 8.594
4.341 5.252 0.853
4.240 4.961 7.530
-0.656 4.394 4.220
-0.016 3.072 0.686
2.510 2.500 3.124
5.759 0.565 1.385
4.257 -0.108 10.897
2.844 0.294 7.363
1.845 2.684 9.801
3.294 3.432 -0.354
2.294 5.822 2.084
0.882 6.224 -1.450
-0.621 5.551 8.062
2.629 3.616 6.323
5.154 3.044 8.761
5.794 1.722 5.227
```

VZnCl4 | GGA-PBE | optimized geometry

Structure (POSCAR):
```
VZnCl4
1.0
-0.077 -3.622 -0.027
6.328 -0.127 -0.923
0.830 -0.063 6.238
V Zn Cl
1 1 4
Cartesian
0.377 -1.842 3.106
0.000 0.000 0.000
5.550 -0.142 3.405
1.991 -1.890 4.986
5.091 -1.922 0.302
1.608 -0.048 1.910
```

ZrVCl3 | GGA-PBE | optimized geometry

## Properties
- Energy above the lowest structure with this stoichiometry: 0 meV per atom

Structure (POSCAR):
```
ZrVCl3
1.0
-4.480 2.142 0.928
-0.032 -2.065 4.610
2.335 4.082 1.845
V Zr Cl
1 1 3
Cartesian
-1.089 2.080 3.692
0.000 0.000 0.000
-0.016 -1.033 2.305
1.167 2.041 0.923
-2.240 1.071 0.464
```

ZrVCl2 | GGA-PBE | optimized geometry

## Properties
- Energy above the lowest structure with this stoichiometry: 0 meV per atom

Structure (POSCAR):
```
ZrVCl2
1.0
-2.956 -0.689 8.351
-1.267 2.087 8.544
-4.336 2.121 7.460
V Zr Cl
1 1 2
Cartesian
0.000 0.000 0.000
-4.280 1.759 12.178
-7.752 3.187 22.057
-0.808 0.332 2.298
```

ZrVCl3 | GGA-PBE | optimized geometry

## Properties
- Energy above the lowest structure with this stoichiometry: 125 meV per atom

Structure (POSCAR):
```
ZrVCl3
1.0
4.860 0.000 0.000
0.000 4.860 0.000
0.000 0.000 4.860
V Zr Cl
1 1 3
Cartesian
0.000 0.000 0.000
2.430 2.430 2.430
0.000 2.430 0.000
0.000 0.000 2.430
2.430 0.000 0.000
```

ZrV2Cl4 | GGA-PBE | optimized geometry

Structure (POSCAR):
```
ZrV2Cl4
1.0
-1.364 -2.715 4.125
4.435 1.207 2.262
-1.132 4.375 5.687
Cl Zr V
4 1 2
Cartesian
1.975 0.600 7.411
-0.036 2.268 4.662
2.218 0.604 1.131
-0.682 -1.357 2.062
0.000 0.000 0.000
0.969 2.535 8.352
0.971 0.332 3.721
```

ZrVCl2 | GGA-PBE | optimized geometry

## Properties
- Energy above the lowest structure with this stoichiometry: 216 meV per atom

Structure (POSCAR):
```
ZrVCl2
1.0
-3.180 -2.940 0.430
2.857 -3.198 -0.737
1.385 -3.556 7.953
V Zr Cl
2 2 4
Cartesian
-0.161 -3.069 -0.154
2.041 -4.912 3.531
0.000 0.000 0.000
-0.978 -4.782 4.115
-1.254 -3.099 2.161
1.705 -3.283 1.585
0.945 -4.999 5.843
0.730 -8.008 5.703
```

W2Cl | GGA-PBE | optimized geometry

## Properties
- Energy above the lowest structure with this stoichiometry: 965 meV per atom

Structure (POSCAR):
```
W2Cl
1.0
-2.165 -8.611 -4.669
4.196 -8.143 -4.091
-1.163 6.881 7.208
W Cl
8 4
Cartesian
1.524 -12.575 -6.575
0.507 -4.180 -2.185
1.518 -0.640 1.554
2.531 -8.999 -2.817
1.189 -9.812 -5.130
0.842 -6.942 -3.630
-0.982 -6.489 -1.671
-1.330 -3.619 -0.171
1.887 -15.565 -8.138
0.144 -1.189 -0.622
1.881 -3.630 -0.009
2.169 -6.009 -1.253
```

W2Cl | GGA-PBE | optimized geometry

## Properties
- Energy above the lowest structure with this stoichiometry: 1417 meV per atom

Structure (POSCAR):
```
W2Cl
1.0
2.283 -3.954 0.000
2.283 3.954 0.000
0.000 0.000 5.384
W Cl
4 2
Cartesian
0.000 0.000 0.000
0.000 0.000 2.692
2.283 1.318 4.038
2.283 -1.318 1.346
2.283 1.318 1.346
2.283 -1.318 4.038
```

WCl3 | GGA-PBE | optimized geometry

## Properties
- Energy above the lowest structure with this stoichiometry: 1077 meV per atom

Structure (POSCAR):
```
WCl3
1.0
3.014 0.000 0.000
0.000 3.014 0.000
0.000 0.000 8.392
W Cl
1 3
Cartesian
1.507 1.507 6.294
0.000 0.000 7.783
1.507 1.507 2.098
0.000 0.000 4.806
```

W2Cl | GGA-PBE | optimized geometry

## Properties
- Energy above the lowest structure with this stoichiometry: 870 meV per atom

Structure (POSCAR):
```
W2Cl
1.0
4.801 0.003 -0.003
2.023 4.353 0.003
-2.834 -3.083 2.347
Cl W
1 2
Cartesian
0.000 0.000 0.000
2.269 1.449 0.000
4.555 2.908 0.000
```

W2Cl | GGA-PBE | optimized geometry

## Properties
- Energy above the lowest structure with this stoichiometry: 344 meV per atom

Structure (POSCAR):
```
W2Cl
1.0
1.043 -7.266 -4.674
2.996 -5.330 -6.192
4.246 -2.383 2.424
W Cl
4 2
Cartesian
4.737 -9.846 -6.461
1.401 -3.882 -3.147
6.884 -11.097 -5.296
3.548 -5.133 -1.981
3.278 -2.703 0.770
5.007 -12.276 -9.213
```

Computed total magnetization (μB/atom) in order:
0.635, 0.500, 0.902, 0.840, 1.199, 0.965, 0.635, 0.000, 0.000, 0.037, 0.000, 0.000
Computed total energy (eV/cell) in order:
-86.1, -24.5, -24.8, -23.4, -24.2, -36.1, -45.1, -97.6, -46.1, -17.3, -24.7, -52.5